The following is a DFT calculation (GGA-PBE) of crystalline Pr6Sn5 at its relaxed geometry.

Calculated formation energy (kJ/mol of atoms): -58.68

Unit cell a=9.7788 b=9.7788 c=5.7512 alpha=107.07 beta=107.07 gamma=124.75
Sites, in units of the cell vectors:
1 Pr 0.0769 0.4140 0.7454
2 Pr 0.2404 0.2404 0.2403
3 Pr 0.4140 0.0769 0.7454
4 Pr 0.5860 0.9231 0.2546
5 Pr 0.7596 0.7596 0.7597
6 Pr 0.9231 0.5860 0.2546
7 Sn 0.0000 0.0000 0.5000
8 Sn 0.1695 0.8305 0.0000
9 Sn 0.3432 0.6568 0.5000
10 Sn 0.6568 0.3432 0.5000
11 Sn 0.8305 0.1695 0.0000


The following is a DFT calculation (GGA-PBE) of crystalline Pr8Sn3 at its relaxed geometry.

Calculated formation energy (kJ/mol of atoms): -17.10

Unit cell a=7.4225 b=7.4225 c=7.4225 alpha=89.78 beta=89.78 gamma=89.78
Sites, in units of the cell vectors:
1 Pr 0.1432 0.1432 0.1432
2 Pr 0.1830 0.3558 0.6283
3 Pr 0.3558 0.6283 0.1830
4 Pr 0.3717 0.8170 0.6442
5 Pr 0.6283 0.1830 0.3558
6 Pr 0.6442 0.3717 0.8170
7 Pr 0.8170 0.6442 0.3717
8 Pr 0.8568 0.8568 0.8568
9 Sn 0.0000 0.0000 0.5000
10 Sn 0.0000 0.5000 0.0000
11 Sn 0.5000 0.0000 0.0000


The following is a DFT calculation (GGA-PBE) of crystalline SrPrSn at its relaxed geometry.

Calculated formation energy (kJ/mol of atoms): -41.88

Unit cell a=7.7529 b=7.7529 c=7.7529 alpha=90.00 beta=90.00 gamma=90.00
Sites, in units of the cell vectors:
1 Sr 0.0000 0.0000 0.0000
2 Sr 0.0000 0.5000 0.5000
3 Sr 0.5000 0.0000 0.5000
4 Sr 0.5000 0.5000 0.0000
5 Pr 0.0000 0.0000 0.5000
6 Pr 0.0000 0.5000 0.0000
7 Pr 0.5000 0.0000 0.0000
8 Pr 0.5000 0.5000 0.5000
9 Sn 0.2500 0.2500 0.2500
10 Sn 0.2500 0.7500 0.7500
11 Sn 0.7500 0.2500 0.7500
12 Sn 0.7500 0.7500 0.2500


The following is a DFT calculation (GGA-PBE) of crystalline SrPrSn at its relaxed geometry.

Calculated formation energy (kJ/mol of atoms): -32.15

Unit cell a=4.3233 b=4.3233 c=10.7508 alpha=90.00 beta=90.00 gamma=90.00
Sites, in units of the cell vectors:
1 Sr 0.0000 0.0000 0.0000
2 Sr 0.5000 0.5000 0.5000
3 Pr 0.0000 0.0000 0.6980
4 Pr 0.5000 0.5000 0.1980
5 Sn 0.0000 0.0000 0.3353
6 Sn 0.5000 0.5000 0.8353


The following is a DFT calculation (GGA-PBE) of crystalline SrPrSn at its relaxed geometry.

Calculated formation energy (kJ/mol of atoms): -31.64

Unit cell a=5.3552 b=5.3552 c=4.2053 alpha=90.00 beta=90.00 gamma=120.00
Sites, in units of the cell vectors:
1 Sr 0.0000 0.0000 0.0000
2 Pr 0.6667 0.3333 0.5589
3 Sn 0.3333 0.6667 0.3416


The following is a DFT calculation (GGA-PBE) of crystalline SrPrSn at its relaxed geometry.

Calculated formation energy (kJ/mol of atoms): -52.59

Unit cell a=4.8843 b=4.9797 c=8.9191 alpha=90.00 beta=90.00 gamma=90.00
Sites, in units of the cell vectors:
1 Sr 0.2500 0.2500 0.1409
2 Sr 0.7500 0.7500 0.8591
3 Pr 0.2500 0.7500 0.5255
4 Pr 0.7500 0.2500 0.4745
5 Sn 0.2500 0.2500 0.7540
6 Sn 0.7500 0.7500 0.2460


The following is a DFT calculation (GGA-PBE) of crystalline SrPr2Sn at its relaxed geometry.

Calculated formation energy (kJ/mol of atoms): -14.28
E above lowest polymorph (eV/atom): 0.1845

Unit cell a=4.8022 b=4.8022 c=25.2812 alpha=90.00 beta=90.00 gamma=120.00
Sites, in units of the cell vectors:
1 Sr 0.0000 0.0000 0.0000
2 Sr 0.3333 0.6667 0.6667
3 Sr 0.6667 0.3333 0.3333
4 Pr 0.0000 0.0000 0.2262
5 Pr 0.0000 0.0000 0.4415
6 Pr 0.3333 0.6667 0.1082
7 Pr 0.3333 0.6667 0.8929
8 Pr 0.6667 0.3333 0.5595
9 Pr 0.6667 0.3333 0.7748
10 Sn 0.0000 0.0000 0.8344
11 Sn 0.3333 0.6667 0.5011
12 Sn 0.6667 0.3333 0.1678


The following is a DFT calculation (GGA-PBE) of crystalline SrPrSn at its relaxed geometry.

Calculated formation energy (kJ/mol of atoms): -43.95

Unit cell a=4.2109 b=4.2109 c=12.5048 alpha=90.00 beta=90.00 gamma=90.00
Sites, in units of the cell vectors:
1 Sr 0.2500 0.2500 0.1374
2 Sr 0.7500 0.7500 0.8626
3 Pr 0.2500 0.2500 0.4177
4 Pr 0.7500 0.7500 0.5823
5 Sn 0.2500 0.2500 0.6954
6 Sn 0.7500 0.7500 0.3046


The following is a DFT calculation (GGA-PBE) of crystalline SrPr2Sn at its relaxed geometry.

Calculated formation energy (kJ/mol of atoms): -3.08
E above lowest polymorph (eV/atom): 0.3007

Unit cell a=3.8642 b=3.8642 c=36.1597 alpha=90.00 beta=90.00 gamma=120.00
Sites, in units of the cell vectors:
1 Sr 0.0000 0.0000 0.0000
2 Sr 0.3333 0.6667 0.6667
3 Sr 0.6667 0.3333 0.3333
4 Pr 0.0000 0.0000 0.1016
5 Pr 0.0000 0.0000 0.8984
6 Pr 0.3333 0.6667 0.5651
7 Pr 0.3333 0.6667 0.7682
8 Pr 0.6667 0.3333 0.2318
9 Pr 0.6667 0.3333 0.4349
10 Sn 0.0000 0.0000 0.5000
11 Sn 0.3333 0.6667 0.1667
12 Sn 0.6667 0.3333 0.8333


The following is a DFT calculation (GGA-PBE) of crystalline SrPrSn4 at its relaxed geometry.

Calculated formation energy (kJ/mol of atoms): -38.94

Unit cell a=6.3296 b=6.3296 c=6.3296 alpha=60.00 beta=60.00 gamma=60.00
Sites, in units of the cell vectors:
1 Sr 0.0000 0.0000 0.0000
2 Pr 0.7500 0.7500 0.7500
3 Sn 0.3755 0.3755 0.3755
4 Sn 0.3755 0.3755 0.8735
5 Sn 0.3755 0.8735 0.3755
6 Sn 0.8735 0.3755 0.3755


The following is a DFT calculation (GGA-PBE) of crystalline SrPrSn6 at its relaxed geometry.

Calculated formation energy (kJ/mol of atoms): -43.90

Unit cell a=4.7884 b=4.7884 c=9.8251 alpha=90.00 beta=90.00 gamma=90.00
Sites, in units of the cell vectors:
1 Sr 0.0000 0.0000 0.0000
2 Pr 0.0000 0.0000 0.5000
3 Sn 0.0000 0.5000 0.2521
4 Sn 0.0000 0.5000 0.7479
5 Sn 0.5000 0.0000 0.2521
6 Sn 0.5000 0.0000 0.7479
7 Sn 0.5000 0.5000 0.0000
8 Sn 0.5000 0.5000 0.5000


The following is a DFT calculation (GGA-PBE) of crystalline SrPr2Sn2 at its relaxed geometry.

Calculated formation energy (kJ/mol of atoms): -40.09
E above lowest polymorph (eV/atom): 0.2320

Unit cell a=13.6589 b=4.2296 c=6.3950 alpha=90.00 beta=102.96 gamma=90.00
Sites, in units of the cell vectors:
1 Sr 0.0000 0.0000 0.0000
2 Sr 0.5000 0.5000 0.0000
3 Pr 0.1436 0.5000 0.5656
4 Pr 0.3564 0.0000 0.4344
5 Pr 0.6436 0.0000 0.5656
6 Pr 0.8564 0.5000 0.4344
7 Sn 0.2052 0.5000 0.1103
8 Sn 0.2948 0.0000 0.8897
9 Sn 0.7052 0.0000 0.1103
10 Sn 0.7948 0.5000 0.8897


Please write out number 10 again, unchanged.
The following is a DFT calculation (GGA-PBE) of crystalline SrPrSn4 at its relaxed geometry.

Calculated formation energy (kJ/mol of atoms): -38.94

Unit cell a=6.3296 b=6.3296 c=6.3296 alpha=60.00 beta=60.00 gamma=60.00
Sites, in units of the cell vectors:
1 Sr 0.0000 0.0000 0.0000
2 Pr 0.7500 0.7500 0.7500
3 Sn 0.3755 0.3755 0.3755
4 Sn 0.3755 0.3755 0.8735
5 Sn 0.3755 0.8735 0.3755
6 Sn 0.8735 0.3755 0.3755


Question: calculated formation energy of number 5 (SrPrSn)?
Answer: -31.64 kJ/mol of atoms